Entry 1:
KCaAs2O6 PBE optimized geometry; total energy = -59.537 eV per formula unit; formation energy without anion corrections = -1.74 eV per atom
1.0
-5.548 -1.965 -4.350
3.962 -5.168 -3.339
-1.494 -2.740 5.378
O K As Ca
12 2 4 2
Direct
0.456 0.306 0.863 O
0.912 0.396 0.210 O
0.306 0.456 0.363 O
0.864 0.836 0.492 O
0.088 0.604 0.790 O
0.694 0.544 0.637 O
0.164 0.136 0.008 O
0.396 0.912 0.710 O
0.604 0.088 0.290 O
0.836 0.864 0.992 O
0.544 0.694 0.137 O
0.136 0.164 0.508 O
0.197 0.803 0.250 K
0.803 0.197 0.750 K
0.126 0.294 0.274 As
0.874 0.706 0.726 As
0.294 0.126 0.774 As
0.706 0.874 0.226 As
0.603 0.397 0.250 Ca
0.397 0.603 0.750 Ca

Entry 2:
Sm2As2Pd3 PBE optimized geometry; total energy = -40.872 eV per formula unit; energy of formation = -937 meV per atom
1.0
4.107 0.000 0.000
-2.054 5.306 0.177
0.000 -0.987 6.429
Pd Sm As
3 2 2
Direct
0.000 0.000 0.000 Pd
0.305 0.609 0.131 Pd
0.695 0.391 0.869 Pd
0.619 0.238 0.312 Sm
0.381 0.762 0.688 Sm
0.101 0.203 0.672 As
0.899 0.797 0.328 As

Entry 3:
La6TbDy2Th PBE optimized geometry; total energy = -49.542 eV per formula unit; energy of formation = 128 meV per atom
1.0
0.187 7.526 6.872
-7.835 -3.367 2.484
7.255 -4.180 2.965
La Dy Tb Th
12 4 2 2
Direct
0.055 0.108 0.746 La
0.620 0.500 0.696 La
0.945 0.892 0.254 La
0.120 0.696 0.500 La
0.380 0.500 0.304 La
0.555 0.746 0.108 La
0.692 0.006 0.571 La
0.192 0.571 0.006 La
0.308 0.994 0.429 La
0.445 0.254 0.892 La
0.880 0.304 0.500 La
0.808 0.429 0.994 La
0.951 0.724 0.811 Dy
0.549 0.189 0.276 Dy
0.451 0.811 0.724 Dy
0.049 0.276 0.189 Dy
0.750 0.018 0.982 Tb
0.250 0.982 0.018 Tb
0.250 0.404 0.596 Th
0.750 0.596 0.404 Th

Entry 4:
CsEr3Se5 PBE optimized geometry; total energy = -48.564 eV per formula unit; formation energy without anion corrections = -1.84 eV per atom
1.0
-1.446 -3.706 1.090
10.464 -5.314 -4.181
9.140 2.301 19.953
Er Se Cs
12 20 4
Direct
0.750 0.798 0.826 Er
0.750 0.702 0.326 Er
0.250 0.298 0.674 Er
0.750 0.459 0.801 Er
0.750 0.108 0.554 Er
0.750 0.392 0.054 Er
0.250 0.892 0.446 Er
0.250 0.202 0.174 Er
0.250 0.608 0.946 Er
0.750 0.041 0.301 Er
0.250 0.959 0.699 Er
0.250 0.541 0.199 Er
0.250 0.627 0.815 Se
0.750 0.127 0.685 Se
0.250 0.949 0.569 Se
0.250 0.237 0.047 Se
0.250 0.551 0.327 Se
0.750 0.051 0.173 Se
0.250 0.308 0.802 Se
0.750 0.692 0.198 Se
0.750 0.763 0.953 Se
0.250 0.551 0.069 Se
0.250 0.263 0.547 Se
0.750 0.808 0.698 Se
0.250 0.949 0.827 Se
0.750 0.373 0.185 Se
0.250 0.192 0.302 Se
0.750 0.051 0.431 Se
0.750 0.449 0.673 Se
0.750 0.737 0.453 Se
0.750 0.449 0.931 Se
0.250 0.873 0.315 Se
0.750 0.149 0.907 Cs
0.750 0.351 0.407 Cs
0.250 0.851 0.093 Cs
0.250 0.649 0.593 Cs

Entry 5:
Li4In2Bi3 PBE optimized geometry; total energy = -27.092 eV per formula unit; energy of formation = -257 meV per atom
1.0
3.158 -0.393 -1.655
-1.181 7.646 -4.070
-0.885 0.132 9.892
In Li Bi
2 4 3
Direct
0.000 0.177 0.000 In
0.000 0.823 0.000 In
0.968 0.156 0.647 Li
0.032 0.510 0.353 Li
0.968 0.490 0.647 Li
0.032 0.844 0.353 Li
0.500 0.500 0.000 Bi
0.949 0.816 0.633 Bi
0.051 0.184 0.367 Bi

Entry 6:
KRe2Sb PBE optimized geometry; total energy = -25.501 eV per formula unit; formation energy without anion corrections = 1.15 eV per atom
1.0
-0.859 2.362 -1.583
-4.391 -0.886 1.062
0.576 4.095 5.799
Re K Sb
2 1 1
Direct
0.000 0.000 0.407 Re
0.000 0.000 0.093 Re
0.500 0.500 0.750 K
0.500 0.500 0.250 Sb

- Number 6 is which compound?
  KRe2Sb